## BiPd8Au6 (PBE-GGA)

Data for a geometry-optimized BiPd8Au6 structure.

a b c (Å): 6.682 6.682 6.682
angles (deg): 74.10 74.10 74.10
Sites, in units of the cell vectors:
Bi (0.000, 0.000, 0.000)
Pd (0.061, 0.388, 0.849)
Pd (0.151, 0.939, 0.612)
Pd (0.239, 0.239, 0.239)
Pd (0.388, 0.849, 0.061)
Pd (0.612, 0.151, 0.939)
Pd (0.761, 0.761, 0.761)
Pd (0.849, 0.061, 0.388)
Pd (0.939, 0.612, 0.151)
Au (0.183, 0.604, 0.432)
Au (0.396, 0.568, 0.817)
Au (0.432, 0.183, 0.604)
Au (0.568, 0.817, 0.396)
Au (0.604, 0.432, 0.183)
Au (0.817, 0.396, 0.568)

Space-group type: R-3, No. 148
VASP energy, eV per atom: -4.308
Total magnetization, μB/cell: 0.0

=====

## Ni2AsRh (PBE-GGA)

Data for a geometry-optimized Ni2AsRh structure.

a b c (Å): 2.804 3.854 5.014
angles (deg): 90.00 105.99 90.00
Sites, in units of the cell vectors:
Ni (0.120, 0.000, 0.266)
Ni (0.880, 0.000, 0.734)
As (0.500, 0.500, 0.500)
Rh (0.500, 0.500, 0.000)

Space-group type: P2/m, No. 10
VASP energy, eV per atom: -5.949
Total magnetization, μB/cell: 0.0

=====

## LaZr2P (PBE-GGA)

Data for a geometry-optimized LaZr2P structure.

a b c (Å): 9.124 9.124 9.124
angles (deg): 22.88 22.88 22.88
Sites, in units of the cell vectors:
La (0.000, 0.000, 0.000)
Zr (0.221, 0.221, 0.221)
Zr (0.464, 0.464, 0.464)
P (0.740, 0.740, 0.740)

Space-group type: R3m, No. 160
VASP energy, eV per atom: -7.339
Total magnetization, μB/cell: 0.1

=====

## In2SnI (PBE-GGA)

Data for a geometry-optimized In2SnI structure.

a b c (Å): 8.368 8.368 8.368
angles (deg): 30.67 30.67 30.67
Sites, in units of the cell vectors:
In (0.000, 0.000, 0.000)
In (0.198, 0.198, 0.198)
Sn (0.600, 0.600, 0.600)
I (0.428, 0.428, 0.428)

ΔE_f (raw), eV per formula unit: -0.14
Space-group type: R3m, No. 160
Energy relative to the lowest polymorph listed for this composition, meV per atom: 0.0
Total magnetization, μB/cell: 0.0